First-principles (GGA-PBE) data for a relaxed structure of Tl7CdAu2, as listed in Alexandria.

Cell lengths 11.4179, 15.1526, 3.4520 Å; angles 90.00, 90.00, 90.00 degrees
Space group Cmmm (No. 65)
Inequivalent atoms, fractional coordinates:
Tl  0.0000  0.0000  0.0000 (multiplicity 2)
Tl  0.0000  0.2011  0.5000 (multiplicity 4)
Tl  0.2461  0.1257  0.0000 (multiplicity 8)
Cd  0.0000  0.5000  0.5000 (multiplicity 2)
Au  0.0000  0.3559  0.0000 (multiplicity 4)

ΔE_f, meV/atom: 27